Na2NdCoO4 | GGA+U | optimized geometry

Cell lengths 5.2069, 5.2069, 5.2069 Å; angles 101.79, 113.45, 113.45 degrees
Last column: nearest neighbours and their distance in Å.
Element x y z (fractional)
O 0.0143 0.2284 0.6754  1 Co 1.84
O 0.5530 0.3246 0.3389  1 Co 1.84
Nd 0.5000 0.2500 0.7500  4 O 2.35
O 0.4470 0.7859 0.7716  1 Co 1.84
Co 0.0000 0.5000 0.5000  4 O 1.84
O 0.9857 0.6611 0.2141  1 Co 1.84
Na 0.0000 0.0000 0.0000  4 O 2.26
Na 0.5000 0.7500 0.2500  4 O 2.45

The value obtained for the total magnetic moment is 0.250 μB/atom. The value obtained for the uncorrected energy is -5.90 eV per atom.